Version A
Tb5Nd3Dy2 GGA-PBE optimized geometry; DOS(E_F) = 36.1 states/eV per cell; crystal system = monoclinic
1.0
-2.043 -8.571 -3.543
7.913 -4.640 -2.361
-2.574 3.481 10.302
Nd Tb Dy
6 10 4
Cartesian
1.592 -7.595 -1.127
4.816 -3.199 6.815
-1.520 -6.531 -2.416
5.481 -2.897 0.679
1.704 -2.135 5.526
-2.185 -6.833 3.720
1.153 -7.545 3.070
4.666 -1.899 3.755
-0.166 -5.126 6.132
2.142 -2.185 1.329
-1.370 -7.831 0.643
3.604 -5.836 1.164
-0.309 -3.894 3.235
3.462 -4.604 -1.734
-1.650 -1.292 5.866
4.945 -8.439 -1.467
6.684 -5.631 -0.424
2.897 -4.785 4.223
0.398 -4.945 0.175
-3.388 -4.099 4.823

Version B
Tb5Nd3Dy2 GGA-PBE optimized geometry; DOS(E_F) = 32.4 states/eV per cell; crystal system = orthorhombic
1.0
6.733 0.000 0.000
3.366 10.508 0.910
3.366 3.666 9.890
Tb Dy Nd
10 4 6
Cartesian
1.683 2.561 1.951
6.733 10.150 6.362
5.050 7.087 5.400
8.416 7.087 5.400
10.099 8.827 8.098
8.416 11.613 8.849
11.783 11.613 8.849
5.050 2.561 1.951
6.733 4.024 4.438
3.366 5.347 2.702
6.733 9.284 3.330
10.099 5.674 8.068
6.733 4.890 7.470
3.366 8.500 2.732
1.683 0.000 0.000
10.099 10.960 5.364
6.733 6.094 1.656
3.366 3.214 5.436
5.050 0.000 0.000
6.733 8.080 9.144

Most stable: version A. Least stable: version B.

Version A
TbNd7Dy2 GGA-PBE optimized geometry; DOS(E_F) = 15.3 states/eV per cell; crystal system = orthorhombic
1.0
3.523 0.000 0.000
0.000 10.054 -2.737
0.000 -0.654 10.399
Nd Dy Tb
7 2 1
Cartesian
0.000 2.797 6.165
1.761 8.387 4.016
1.761 5.625 7.405
0.000 6.603 1.496
1.761 1.013 3.646
1.761 3.775 0.256
1.761 4.700 3.831
1.761 1.132 8.208
1.761 8.268 -0.546
0.000 0.000 0.000

Version B
TbNd7Dy2 GGA-PBE optimized geometry; DOS(E_F) = 15.3 states/eV per cell; crystal system = orthorhombic
1.0
-3.704 -1.263 -4.073
-3.724 -6.694 5.463
-2.955 8.931 -0.083
Tb Nd Dy
1 7 2
Cartesian
0.000 0.000 0.000
-3.135 -1.996 -0.447
-3.123 5.524 1.126
-2.961 1.534 -1.700
-7.421 -0.560 3.006
-3.556 -3.286 4.253
-7.248 2.970 1.753
-5.191 0.487 0.653
-5.349 -2.717 1.790
-5.034 3.691 -0.484

Most stable: version A. Least stable: version B.

Version A
TbNdDy4 GGA-PBE optimized geometry; DOS(E_F) = 12.2 states/eV per cell; crystal system = cubic
1.0
-3.581 -4.406 3.360
2.953 -4.113 4.230
-0.897 0.743 6.494
Nd Dy Tb
1 4 1
Cartesian
-0.381 -1.944 3.521
-0.504 -5.234 5.552
0.840 -2.655 7.122
-2.433 -2.801 6.687
-0.954 -4.862 8.806
0.000 0.000 0.000

Version B
TbNdDy4 GGA-PBE optimized geometry; DOS(E_F) = 19.7 states/eV per cell; crystal system = monoclinic
1.0
-6.197 -0.711 1.977
5.471 -2.952 6.030
0.580 8.566 -0.904
Nd Dy Tb
2 8 2
Cartesian
1.398 4.938 6.544
-1.545 -0.035 0.560
0.999 5.876 0.525
-3.228 2.647 1.619
2.426 4.620 3.154
0.304 2.420 1.866
-1.146 -0.973 6.578
-2.572 0.283 3.950
3.081 2.255 5.485
-0.450 2.482 5.238
-1.370 5.397 3.060
1.223 -0.494 4.043

Most stable: version B. Least stable: version A.

Version A
TbNd7Dy3 GGA-PBE optimized geometry; DOS(E_F) = 15.2 states/eV per cell; crystal system = orthorhombic
1.0
5.917 -0.181 -0.232
-2.675 8.086 1.093
-2.675 -0.900 8.110
Dy Nd Tb
3 7 1
Cartesian
-2.675 0.937 6.676
2.959 -0.091 -0.116
-2.675 6.249 2.528
0.173 4.760 0.709
0.444 5.541 7.095
0.173 -0.466 4.790
-2.675 3.593 4.602
0.394 7.471 4.182
0.123 1.465 1.876
0.394 2.246 8.262
0.284 3.503 4.486

Version B
TbNd7Dy3 GGA-PBE optimized geometry; DOS(E_F) = 33.9 states/eV per cell; crystal system = triclinic
1.0
-4.245 9.264 -1.476
-2.960 -9.792 1.238
-0.871 7.032 10.422
Dy Nd Tb
6 14 2
Cartesian
-4.026 4.547 1.768
0.000 0.000 0.000
-4.430 8.066 6.979
-4.049 1.958 8.417
-3.646 -1.561 3.205
-0.435 3.516 5.211
-4.683 11.668 7.028
-6.008 6.112 4.291
-1.625 -3.128 0.701
-5.196 -3.383 0.561
-5.425 1.378 2.433
-2.651 5.127 7.752
-2.438 6.378 4.392
-2.068 0.393 5.893
-4.323 8.154 1.813
-6.451 9.632 9.484
-2.880 9.888 9.623
-3.393 -5.163 3.157
-5.637 0.126 5.793
-3.753 -1.649 8.372
-4.038 3.252 5.092
-3.603 -0.264 -0.119

Most stable: version B. Least stable: version A.

Version A
TbNd4Dy6 GGA-PBE optimized geometry; DOS(E_F) = 13.8 states/eV per cell; crystal system = tetragonal
1.0
-4.883 5.406 2.480
-4.142 -5.394 3.601
8.165 0.807 2.378
Nd Dy Tb
4 6 1
Cartesian
-1.021 0.127 1.896
-6.884 0.135 5.847
2.852 4.197 4.223
3.333 -2.820 4.952
-3.345 2.904 4.767
-2.441 2.703 1.240
0.135 0.516 4.885
-2.071 -2.697 1.801
4.478 0.511 1.959
-2.988 -2.292 5.307
-4.512 0.006 3.041

Version B
TbNd4Dy6 GGA-PBE optimized geometry; DOS(E_F) = 14.6 states/eV per cell; crystal system = tetragonal
1.0
7.492 -2.913 -5.487
-5.174 8.027 1.880
-1.878 2.913 9.095
Dy Nd Tb
6 4 1
Cartesian
-3.818 5.923 8.136
-4.990 7.741 5.571
1.159 2.557 -1.804
-1.239 5.017 4.121
2.807 0.000 1.804
3.434 0.286 -1.366
0.267 2.894 1.929
-2.306 8.978 7.416
-1.265 1.962 5.796
-3.309 5.133 1.321
0.000 0.000 0.000

Most stable: version B. Least stable: version A.

Version A
TbNd2Dy4 GGA-PBE optimized geometry; DOS(E_F) = 10.8 states/eV per cell; crystal system = monoclinic
1.0
-0.701 3.357 -0.918
-7.669 -0.411 4.337
7.336 0.873 4.477
Nd Dy Tb
2 4 1
Cartesian
-2.319 0.177 2.422
1.285 3.641 5.474
-4.804 2.072 4.382
-1.309 1.214 5.441
0.275 2.605 2.455
3.770 1.746 3.514
0.000 0.000 0.000

Version B
TbNd2Dy4 GGA-PBE optimized geometry; DOS(E_F) = 10.3 states/eV per cell; crystal system = tetragonal
1.0
5.536 0.000 0.000
0.000 5.536 0.000
-2.768 -2.768 8.590
Tb Dy Nd
1 4 2
Cartesian
0.000 0.000 0.000
0.000 2.768 0.000
2.768 2.768 5.562
0.000 0.000 3.029
2.768 0.000 0.000
0.000 0.000 6.480
2.768 2.768 2.110

Most stable: version A. Least stable: version B.

Version A
TbNd5Dy4 GGA-PBE optimized geometry; DOS(E_F) = 13.0 states/eV per cell; crystal system = triclinic
1.0
-1.649 3.215 -0.124
-8.988 -4.678 -1.411
0.212 2.480 9.209
Nd Dy Tb
5 4 1
Cartesian
-1.756 1.391 7.080
-8.669 -0.374 0.594
-5.806 -0.853 2.805
-5.318 -0.731 -0.767
-4.619 1.870 4.869
-4.104 2.004 1.321
-6.320 -0.986 6.352
-9.118 -0.472 4.177
-1.307 1.489 3.497
-0.825 1.607 -0.062

Version B
TbNd5Dy4 GGA-PBE optimized geometry; DOS(E_F) = 15.3 states/eV per cell; crystal system = monoclinic
1.0
-0.790 3.128 1.600
3.051 -3.967 9.265
9.146 0.990 -1.473
Dy Nd Tb
4 5 1
Cartesian
3.064 2.151 1.360
8.342 -2.000 8.032
1.522 -0.709 2.138
9.885 0.860 7.254
6.573 2.481 2.448
6.866 0.780 5.918
1.130 -0.419 5.432
4.541 -0.629 3.473
4.834 -2.330 6.943
-0.395 1.564 0.800

Most stable: version A. Least stable: version B.

Version A
Tb2Nd7Dy GGA-PBE optimized geometry; DOS(E_F) = 15.2 states/eV per cell; crystal system = orthorhombic
1.0
3.529 0.000 0.000
0.000 10.042 -2.729
0.000 -0.648 10.386
Dy Tb Nd
1 2 7
Cartesian
0.000 0.000 0.000
1.765 8.257 -0.539
1.765 1.137 8.196
1.765 3.765 0.264
0.000 2.797 6.160
1.765 5.629 7.393
0.000 6.597 1.497
1.765 4.697 3.829
1.765 1.018 3.635
1.765 8.376 4.022

Version B
Tb2Nd7Dy GGA-PBE optimized geometry; DOS(E_F) = 15.4 states/eV per cell; crystal system = orthorhombic
1.0
5.622 0.000 0.000
0.000 9.426 -0.610
0.000 -4.797 8.137
Nd Tb Dy
7 2 1
Cartesian
2.811 2.204 7.158
2.811 2.314 3.763
0.000 6.349 1.282
2.811 -0.765 2.331
2.811 2.425 0.368
2.811 5.394 5.196
0.000 -1.720 6.245
2.811 5.234 1.968
2.811 -0.605 5.559
0.000 0.000 0.000

Most stable: version A. Least stable: version B.

Version A
Tb4Nd5Dy GGA-PBE optimized geometry; DOS(E_F) = 13.4 states/eV per cell; crystal system = triclinic
1.0
3.546 0.001 -0.730
-0.416 10.028 -2.051
0.120 -0.677 9.540
Tb Nd Dy
4 5 1
Cartesian
0.763 8.620 3.666
0.256 2.834 1.233
2.995 6.518 5.526
2.487 0.732 3.093
0.044 7.929 0.180
1.565 5.015 -1.391
0.969 3.604 4.682
2.281 5.749 2.077
3.207 1.423 6.579
1.773 0.001 -0.365

Version B
Tb4Nd5Dy GGA-PBE optimized geometry; DOS(E_F) = 15.1 states/eV per cell; crystal system = monoclinic
1.0
-2.981 -1.061 1.739
4.625 -9.164 2.336
5.140 3.277 7.065
Tb Dy Nd
4 1 5
Cartesian
5.355 -5.021 9.865
0.245 -0.328 3.968
6.539 -6.620 7.171
1.429 -1.928 1.274
-1.490 -0.531 0.869
3.540 -4.303 7.192
4.597 -6.276 4.050
3.244 -2.646 3.946
2.188 -0.672 7.089
0.822 -5.113 2.037

Most stable: version A. Least stable: version B.

Version A
Tb3Nd2Dy7 GGA-PBE optimized geometry; DOS(E_F) = 17.5 states/eV per cell; crystal system = monoclinic
1.0
3.525 0.000 0.000
0.000 6.303 0.752
0.000 2.380 17.807
Dy Nd Tb
7 2 3
Cartesian
1.763 2.724 9.103
0.000 3.929 3.330
0.000 0.000 0.000
1.763 0.779 3.004
0.000 4.754 15.228
1.763 5.958 9.455
1.763 7.903 15.554
1.763 4.034 12.275
1.763 4.649 6.283
0.000 1.507 6.167
1.763 3.151 0.376
0.000 7.176 12.391

Version B
Tb3Nd2Dy7 GGA-PBE optimized geometry; DOS(E_F) = 17.8 states/eV per cell; crystal system = orthorhombic
1.0
3.611 0.000 0.000
0.000 5.704 0.000
0.000 -2.852 18.976
Nd Tb Dy
2 3 7
Cartesian
0.000 2.852 13.390
0.000 0.000 5.586
1.805 0.000 11.922
1.805 2.852 0.000
1.805 2.852 7.054
0.000 2.852 10.225
0.000 2.852 3.400
0.000 0.000 15.577
0.000 0.000 8.751
1.805 2.852 16.282
0.000 0.000 0.000
1.805 0.000 2.694

Most stable: version A. Least stable: version B.